(1)
DFT (GGA-PBE) results for an optimized crystal structure of CeNdDyZn.

Geometry as POSCAR:
```
CeNdDyZn
1.0
0.000 3.747 3.747
3.747 0.000 3.747
3.747 3.747 0.000
Ce Nd Dy Zn
1 1 1 1
Direct
0.000 0.000 0.000
0.750 0.750 0.750
0.250 0.250 0.250
0.500 0.500 0.500
```

Computed properties:
**Raw total energy**: -4.03 eV/atom
**Energy of formation**: 0.119 eV/atom
**Symmetry**: No. 216

=====

(2)
DFT (GGA-PBE) results for an optimized crystal structure of CeDy2Ni.

Geometry as POSCAR:
```
CeDy2Ni
1.0
1.734 1.001 10.385
-1.734 1.001 10.385
0.000 -2.002 10.385
Ce Dy Ni
1 2 1
Direct
0.000 0.000 0.000
0.109 0.109 0.109
0.891 0.891 0.891
0.500 0.500 0.500
```

Computed properties:
**Excess energy over the best structure of this formula in the dataset**: 0.285 eV per atom
**Raw total energy**: -5.13 eV/atom
**Energy of formation**: 0.099 eV/atom
**Symmetry**: No. 166

=====

(3)
DFT (GGA-PBE) results for an optimized crystal structure of CeDyNi4.

Geometry as POSCAR:
```
CeDyNi4
1.0
0.000 3.590 3.590
3.590 0.000 3.590
3.590 3.590 0.000
Ce Dy Ni
1 1 4
Direct
0.000 0.000 0.000
0.750 0.750 0.750
0.375 0.375 0.375
0.375 0.375 0.875
0.375 0.875 0.375
0.875 0.375 0.375
```

Computed properties:
**Raw total energy**: -6.01 eV/atom
**Energy of formation**: -0.401 eV/atom
**Symmetry**: No. 216

=====

(4)
DFT (GGA-PBE) results for an optimized crystal structure of CeDy2Ni.

Geometry as POSCAR:
```
CeDy2Ni
1.0
3.410 0.000 0.000
0.000 3.410 0.000
0.000 0.000 8.663
Ce Dy Ni
1 2 1
Direct
0.000 0.000 0.000
0.500 0.500 0.313
0.500 0.500 0.687
0.000 0.000 0.500
```

Computed properties:
**Excess energy over the best structure of this formula in the dataset**: 0.050 eV per atom
**Raw total energy**: -5.37 eV/atom
**Energy of formation**: -0.136 eV/atom
**Symmetry**: No. 123

=====

(5)
DFT (GGA-PBE) results for an optimized crystal structure of CeDyNi.

Geometry as POSCAR:
```
CeDyNi
1.0
0.000 3.362 3.362
3.362 0.000 3.362
3.362 3.362 0.000
Ce Dy Ni
1 1 1
Direct
0.000 0.000 0.000
0.500 0.500 0.500
0.250 0.250 0.250
```

Computed properties:
**Excess energy over the best structure of this formula in the dataset**: 0.117 eV per atom
**Raw total energy**: -5.48 eV/atom
**Energy of formation**: -0.041 eV/atom
**Symmetry**: No. 216

=====

(6)
DFT (GGA-PBE) results for an optimized crystal structure of CeDyNi.

Geometry as POSCAR:
```
CeDyNi
1.0
-1.706 1.706 6.119
1.706 -1.706 6.119
1.706 1.706 -6.119
Ce Dy Ni
1 1 1
Direct
0.000 0.000 0.000
0.731 0.731 0.000
0.366 0.366 0.000
```

Computed properties:
**Excess energy over the best structure of this formula in the dataset**: 0.000 eV per atom
**Raw total energy**: -5.60 eV/atom
**Energy of formation**: -0.158 eV/atom
**Symmetry**: No. 107

=====

(7)
DFT (GGA-PBE) results for an optimized crystal structure of CeDy2Ni.

Geometry as POSCAR:
```
CeDy2Ni
1.0
6.804 0.000 0.000
0.000 9.581 0.000
0.000 0.000 6.372
Ce Dy Ni
4 8 4
Direct
0.038 0.250 0.149
0.462 0.750 0.649
0.538 0.250 0.351
0.962 0.750 0.851
0.177 0.066 0.672
0.177 0.434 0.672
0.323 0.566 0.172
0.323 0.934 0.172
0.677 0.066 0.828
0.677 0.434 0.828
0.823 0.566 0.328
0.823 0.934 0.328
0.123 0.750 0.455
0.377 0.250 0.955
0.623 0.750 0.045
0.877 0.250 0.545
```

Computed properties:
**Excess energy over the best structure of this formula in the dataset**: 0.000 eV per atom
**Raw total energy**: -5.42 eV/atom
**Energy of formation**: -0.187 eV/atom
**Symmetry**: No. 62

=====

(8)
DFT (GGA-PBE) results for an optimized crystal structure of CeDyNi.

Geometry as POSCAR:
```
CeDyNi
1.0
5.262 -1.763 0.000
5.262 1.763 0.000
-0.982 0.000 7.740
Ce Dy Ni
2 2 2
Direct
0.121 0.121 0.434
0.879 0.879 0.566
0.378 0.378 0.151
0.622 0.622 0.849
0.323 0.323 0.798
0.677 0.677 0.202
```

Computed properties:
**Excess energy over the best structure of this formula in the dataset**: 0.059 eV per atom
**Raw total energy**: -5.54 eV/atom
**Energy of formation**: -0.098 eV/atom
**Symmetry**: No. 12